## Ac4SnIr (PBE-GGA)

Data for Ac4SnIr after structural relaxation.

Structure (POSCAR):
```
Ac4SnIr
1.0
-1.362 -2.782 -6.090
-3.315 -5.798 3.391
-6.326 6.767 5.387
Ac Sn Ir
8 2 2
Direct
0.509 0.250 0.418
0.491 0.750 0.582
0.727 0.250 0.876
0.273 0.750 0.124
0.881 0.004 0.282
0.119 0.504 0.718
0.881 0.496 0.282
0.119 0.996 0.718
0.349 0.250 0.050
0.651 0.750 0.950
0.242 0.250 0.560
0.758 0.750 0.440
```

Summary:
Distance to the lowest polymorph of the same formula, meV per atom: 0
E_tot, eV per atom: -5.40
Calculated density, kg/m³: 9122
ΔH_f (0 K), eV/atom: -0.512

***

## Ac8SnIr4 (PBE-GGA)

Data for Ac8SnIr4 after structural relaxation.

Structure (POSCAR):
```
Ac8SnIr4
1.0
-1.692 0.968 3.946
-1.613 -9.704 4.143
8.541 0.307 6.041
Ac Sn Ir
8 1 4
Direct
0.160 0.376 0.304
0.558 0.257 0.627
0.464 0.702 0.370
0.862 0.582 0.693
0.867 0.298 0.968
0.195 0.928 0.683
0.155 0.661 0.028
0.828 0.031 0.314
0.511 0.980 0.998
0.360 0.448 0.831
0.834 0.813 0.519
0.188 0.145 0.478
0.662 0.510 0.166
```

Summary:
E_tot, eV per atom: -6.13
Calculated density, kg/m³: 9549
ΔH_f (0 K), eV/atom: -0.564

***

## AcSn3Ir3 (PBE-GGA)

Data for AcSn3Ir3 after structural relaxation.

Structure (POSCAR):
```
AcSn3Ir3
1.0
7.260 0.000 0.000
0.000 7.260 0.000
0.000 0.000 7.260
Ac Ir Sn
2 6 6
Direct
0.500 0.500 0.500
0.000 0.000 0.000
0.000 0.250 0.500
0.000 0.750 0.500
0.500 0.000 0.750
0.750 0.500 0.000
0.500 0.000 0.250
0.250 0.500 0.000
0.250 0.000 0.500
0.000 0.500 0.250
0.500 0.750 0.000
0.750 0.000 0.500
0.000 0.500 0.750
0.500 0.250 0.000
```

Summary:
Distance to the lowest polymorph of the same formula, meV per atom: 320
E_tot, eV per atom: -6.09
Calculated density, kg/m³: 10067
ΔH_f (0 K), eV/atom: 0.013

***

## AcSn3Ir2 (PBE-GGA)

Data for AcSn3Ir2 after structural relaxation.

Structure (POSCAR):
```
AcSn3Ir2
1.0
9.482 0.000 0.000
4.741 8.211 0.000
4.741 2.737 3.865
Ac Sn Ir
2 6 4
Direct
0.750 0.750 0.750
0.250 0.250 0.250
0.250 0.750 0.250
0.750 0.250 0.250
0.750 0.750 0.250
0.250 0.750 0.750
0.750 0.250 0.750
0.250 0.250 0.750
0.000 0.000 0.000
0.000 0.500 0.000
0.500 0.500 0.000
0.500 0.000 0.000
```

Summary:
Distance to the lowest polymorph of the same formula, meV per atom: 67
E_tot, eV per atom: -6.04
Calculated density, kg/m³: 10678
ΔH_f (0 K), eV/atom: -0.398

***

Which value of calculated density does entry 4 give?
10678 kg/m³

***

Among the records above, which one has the lowest E_tot?
Ac8SnIr4

***

Which value of E_tot does entry 1 give?
-5.40 eV per atom